# KRb2Nb | Alexandria | GGA-PBE | relaxed
data_KRb2Nb
_chemical_formula_sum 'K4 Rb8 Nb4'
_cell_length_a 9.450
_cell_length_b 9.450
_cell_length_c 9.450
_cell_angle_alpha 90.00
_cell_angle_beta 90.00
_cell_angle_gamma 90.00
_space_group_name_H-M_alt 'F m -3 m'
_space_group_IT_number 225
_space_group_name_Hall '-F 4 2 3'
loop_
_atom_site_label
_atom_site_type_symbol
_atom_site_fract_x
_atom_site_fract_y
_atom_site_fract_z
K1 K 0.000 0.000 0.000
Rb1 Rb 0.250 0.250 0.250
Nb1 Nb 0.000 0.000 0.500
# **Energy relative to the elements**: 1.1583 eV/atom
# **Offset from the most stable computed form**: 0.000 eV/atom
# **Electronic total energy**: -2.117 eV/atom
# **Crystal system**: cubic